(1)
VASP calculation (PBE) on an optimized crystal structure of Li4BeMo.

Raw total energy (eV per cell): -18.55
Size of the total moment (μB/atom): 0.3835
Energy of formation from the pure elements (eV/atom): 0.611

Geometry as POSCAR:
```
Li4BeMo
1.0
0.000 3.460 3.460
3.460 0.000 3.460
3.460 3.460 0.000
Li Be Mo
4 1 1
direct
0.125 0.125 0.125 Li
0.125 0.125 0.624 Li
0.125 0.624 0.125 Li
0.624 0.125 0.125 Li
0.500 0.500 0.500 Be
0.750 0.750 0.750 Mo
```

=====

(2)
VASP calculation (PBE) on an optimized crystal structure of La2PmTm6.

Raw total energy (eV per cell): -79.25
Size of the total moment (μB/atom): 0.0001
Energy of formation from the pure elements (eV/atom): 0.201

Geometry as POSCAR:
```
La2PmTm6
1.0
7.086 -7.089 0.000
7.086 7.089 0.000
-2.604 0.000 5.807
La Pm Tm
4 2 12
direct
0.111 0.187 0.461 La
0.187 0.111 0.961 La
0.813 0.889 0.039 La
0.889 0.813 0.539 La
0.368 0.632 0.750 Pm
0.632 0.368 0.250 Pm
0.049 0.543 0.299 Tm
0.131 0.754 0.979 Tm
0.246 0.869 0.521 Tm
0.299 0.446 0.065 Tm
0.446 0.299 0.565 Tm
0.457 0.951 0.201 Tm
0.543 0.049 0.799 Tm
0.554 0.701 0.435 Tm
0.701 0.554 0.935 Tm
0.754 0.131 0.479 Tm
0.869 0.246 0.021 Tm
0.951 0.457 0.701 Tm
```

=====

Which value of energy of formation from the pure elements does entry 2 give? 0.201 eV/atom

=====

Which of these has the highest energy of formation from the pure elements? Li4BeMo

=====

Look up the energy of formation from the pure elements of the second one. 0.201 eV/atom

=====

The lowest raw total energy belongs to which entry? La2PmTm6